First-principles (GGA-PBE) data for a relaxed structure of U2PbF11, as listed in Alexandria.

VASP energy = -6.7011 eV/atom
Density = 5.6 Mg/m³

Cell lengths 8.9799, 8.9799, 8.9799 Å; angles 122.85, 107.51, 99.01 degrees
Fractional positions:
U 0.1803 0.1482 0.3285
U 0.3197 0.6482 0.9679
U 0.6803 0.3518 0.0321
U 0.8197 0.8518 0.6715
Pb 0.2500 0.7500 0.5000
Pb 0.7500 0.2500 0.5000
F 0.0000 0.0000 0.0000
F 0.0562 0.8657 0.6645
F 0.0567 0.4579 0.7820
F 0.1759 0.9579 0.4011
F 0.2012 0.3917 0.3355
F 0.2159 0.8654 0.0813
F 0.2841 0.3654 0.6496
F 0.2988 0.6343 0.1905
F 0.3241 0.7252 0.7820
F 0.4433 0.2252 0.4011
F 0.4438 0.1083 0.8095
F 0.5000 0.5000 0.0000
F 0.5562 0.8917 0.1905
F 0.5567 0.7748 0.5989
F 0.6759 0.2748 0.2180
F 0.7012 0.3657 0.8095
F 0.7159 0.6346 0.3504
F 0.7841 0.1346 0.9187
F 0.7988 0.6083 0.6645
F 0.8241 0.0421 0.5989
F 0.9433 0.5421 0.2180
F 0.9438 0.1343 0.3355